No. 1
Below is a relaxed HfPaCd crystal, with properties calculated at the PBE level.

Summary:
Its crystal system is tetragonal. Its formation energy is 0.0110 eV/atom. As for the symmetry: I4mm (107). The volume is 23.24 Å³/atom. The offset from the most stable computed form comes out at 4 meV/atom. As for the total energy: -20.33 eV for the cell shown.

abc: 7.640 7.640 7.640
angles: 156.70 156.70 33.19
Element x y z (fractional)
1 Hf 0.000 0.000 0.000
2 Pa 0.663 0.663 0.000
3 Cd 0.341 0.341 0.000

=====

No. 2
Below is a relaxed Tl6Hg3Te crystal, with properties calculated at the PBE level.

Summary:
The uncorrected formation energy comes out at -52 meV/atom. Its crystal system is monoclinic. As for the symmetry: P2_1/m (11). The volume is 31.88 Å³/atom. The offset from the most stable computed form comes out at 15 meV/atom. As for the total energy: -37.53 eV for the cell shown.

abc: 11.741 4.144 13.800
angles: 90.00 108.27 90.00
Element x y z (fractional)
1 Tl 0.090 0.250 0.328
2 Tl 0.108 0.750 0.943
3 Tl 0.128 0.750 0.538
4 Tl 0.358 0.750 0.369
5 Tl 0.370 0.250 0.956
6 Tl 0.384 0.750 0.751
7 Tl 0.616 0.250 0.249
8 Tl 0.630 0.750 0.044
9 Tl 0.642 0.250 0.631
10 Tl 0.872 0.250 0.462
11 Tl 0.892 0.250 0.057
12 Tl 0.910 0.750 0.672
13 Hg 0.137 0.250 0.752
14 Hg 0.180 0.250 0.137
15 Hg 0.389 0.750 0.140
16 Hg 0.611 0.250 0.860
17 Hg 0.820 0.750 0.863
18 Hg 0.863 0.750 0.248
19 Te 0.351 0.250 0.554
20 Te 0.649 0.750 0.446

=====

No. 3
Below is a relaxed In2RePb crystal, with properties calculated at the PBE level.

Summary:
Its crystal system is tetragonal. Its formation energy is 0.8388 eV/atom. As for the symmetry: P4/mmm (123). The volume is 21.85 Å³/atom. The offset from the most stable computed form comes out at 394 meV/atom. As for the total energy: -18.28 eV for the cell shown.

abc: 5.056 5.056 3.418
angles: 90.00 90.00 90.00
Element x y z (fractional)
1 In 0.000 0.500 0.000
2 In 0.500 0.000 0.000
3 Re 0.000 0.000 0.500
4 Pb 0.500 0.500 0.500